Record 1
VASP calculation (PBE) on a geometry-optimized CrFe2Mo structure.

Summary:
- spin magnetization (μB per formula unit) = 1.531
- Fermi-level density of states (states/eV per cell) = 8.90
- final energy (eV/atom) = -9.1890

```
data_CrFe2Mo
_chemical_formula_sum 'Cr2 Fe4 Mo2'
_cell_length_a 3.644
_cell_length_b 3.644
_cell_length_c 7.354
_cell_angle_alpha 90.00
_cell_angle_beta 90.00
_cell_angle_gamma 90.00
_symmetry_space_group_name_H-M 'I 4/m m m'
_symmetry_Int_Tables_number 139
_symmetry_space_group_name_Hall '-I 4 2'
loop_
_atom_site_label
_atom_site_type_symbol
_atom_site_fract_x
_atom_site_fract_y
_atom_site_fract_z
Cr1 Cr 0.000 0.000 0.000
Fe1 Fe 0.000 0.500 0.250
Mo1 Mo 0.000 0.000 0.500
```

=====

Record 2
VASP calculation (PBE) on a geometry-optimized Sc3AsPb structure.

Summary:
- spin magnetization (μB per formula unit) = 0.000
- Fermi-level density of states (states/eV per cell) = 4.61
- final energy (eV/atom) = -6.0170

```
data_Sc3AsPb
_chemical_formula_sum 'Sc3 As1 Pb1'
_cell_length_a 5.028
_cell_length_b 5.028
_cell_length_c 5.028
_cell_angle_alpha 90.00
_cell_angle_beta 90.00
_cell_angle_gamma 90.00
_symmetry_space_group_name_H-M 'P m -3 m'
_symmetry_Int_Tables_number 221
_symmetry_space_group_name_Hall '-P 4 2 3'
loop_
_atom_site_label
_atom_site_type_symbol
_atom_site_fract_x
_atom_site_fract_y
_atom_site_fract_z
Sc1 Sc 0.000 0.000 0.500
As1 As 0.000 0.000 0.000
Pb1 Pb 0.500 0.500 0.500
```

=====

Record 3
VASP calculation (PBE) on a geometry-optimized TbPaCu structure.

Summary:
- spin magnetization (μB per formula unit) = 0.000
- Fermi-level density of states (states/eV per cell) = 8.57
- final energy (eV/atom) = -5.9684

```
data_TbPaCu
_chemical_formula_sum 'Tb2 Pa2 Cu2'
_cell_length_a 3.300
_cell_length_b 3.300
_cell_length_c 12.685
_cell_angle_alpha 90.00
_cell_angle_beta 90.00
_cell_angle_gamma 90.00
_symmetry_space_group_name_H-M 'I 4 m m'
_symmetry_Int_Tables_number 107
_symmetry_space_group_name_Hall 'I 4 -2'
loop_
_atom_site_label
_atom_site_type_symbol
_atom_site_fract_x
_atom_site_fract_y
_atom_site_fract_z
Tb1 Tb 0.000 0.000 0.000
Pa1 Pa 0.000 0.000 0.295
Cu1 Cu 0.000 0.000 0.649
```

=====

Record 4
VASP calculation (PBE) on a geometry-optimized AcSm3 structure.

Summary:
- spin magnetization (μB per formula unit) = 0.001
- Fermi-level density of states (states/eV per cell) = 38.23
- final energy (eV/atom) = -4.4210

```
data_AcSm3
_chemical_formula_sum 'Ac4 Sm12'
_cell_length_a 8.361
_cell_length_b 8.361
_cell_length_c 8.361
_cell_angle_alpha 90.00
_cell_angle_beta 90.00
_cell_angle_gamma 90.00
_symmetry_space_group_name_H-M 'F m -3 m'
_symmetry_Int_Tables_number 225
_symmetry_space_group_name_Hall '-F 4 2 3'
loop_
_atom_site_label
_atom_site_type_symbol
_atom_site_fract_x
_atom_site_fract_y
_atom_site_fract_z
Ac1 Ac 0.000 0.000 0.000
Sm1 Sm 0.000 0.000 0.500
Sm2 Sm 0.250 0.250 0.250
```

=====

Record 5
VASP calculation (PBE) on a geometry-optimized ZrCdIn2 structure.

Summary:
- spin magnetization (μB per formula unit) = 0.000
- Fermi-level density of states (states/eV per cell) = 6.98
- final energy (eV/atom) = -3.8715

```
data_ZrCdIn2
_chemical_formula_sum 'Zr2 Cd2 In4'
_cell_length_a 4.284
_cell_length_b 4.284
_cell_length_c 9.872
_cell_angle_alpha 90.00
_cell_angle_beta 90.00
_cell_angle_gamma 90.00
_symmetry_space_group_name_H-M 'I -4 m 2'
_symmetry_Int_Tables_number 119
_symmetry_space_group_name_Hall 'I -4 -2'
loop_
_atom_site_label
_atom_site_type_symbol
_atom_site_fract_x
_atom_site_fract_y
_atom_site_fract_z
Zr1 Zr 0.000 0.000 0.000
Cd1 Cd 0.000 0.500 0.750
In1 In 0.000 0.000 0.500
In2 In 0.000 0.500 0.250
```

=====

Record 6
VASP calculation (PBE) on a geometry-optimized PmHoTm5 structure.

Summary:
- spin magnetization (μB per formula unit) = 0.000
- Fermi-level density of states (states/eV per cell) = 33.59
- final energy (eV/atom) = -4.3229

```
data_PmHoTm5
_chemical_formula_sum 'Pm4 Ho4 Tm20'
_cell_length_a 11.513
_cell_length_b 6.735
_cell_length_c 12.008
_cell_angle_alpha 90.00
_cell_angle_beta 109.61
_cell_angle_gamma 90.00
_symmetry_space_group_name_H-M 'C 1 2/c 1'
_symmetry_Int_Tables_number 15
loop_
_symmetry_equiv_pos_as_xyz
'x,y,z'
'-x,-y,-z'
'-x,y,-z+1/2'
'x,-y,z+1/2'
'x+1/2,y+1/2,z'
'-x+1/2,-y+1/2,-z'
'-x+1/2,y+1/2,-z+1/2'
'x+1/2,-y+1/2,z+1/2'
loop_
_atom_site_label
_atom_site_type_symbol
_atom_site_fract_x
_atom_site_fract_y
_atom_site_fract_z
Pm1 Pm 0.000 0.026 0.250
Ho1 Ho 0.250 0.250 0.000
Tm1 Tm 0.000 0.411 0.750
Tm2 Tm 0.078 0.276 0.499
Tm3 Tm 0.220 0.361 0.250
```

=====

Record 7
VASP calculation (PBE) on a geometry-optimized KInOs2 structure.

Summary:
- spin magnetization (μB per formula unit) = 0.000
- Fermi-level density of states (states/eV per cell) = 7.22
- final energy (eV/atom) = -5.5760

```
data_KInOs2
_chemical_formula_sum 'K2 In2 Os4'
_cell_length_a 2.808
_cell_length_b 5.436
_cell_length_c 11.224
_cell_angle_alpha 90.00
_cell_angle_beta 90.00
_cell_angle_gamma 90.00
_symmetry_space_group_name_H-M 'I m m 2'
_symmetry_Int_Tables_number 44
loop_
_symmetry_equiv_pos_as_xyz
'x,y,z'
'-x,-y,z'
'-x,y,z'
'x,-y,z'
'x+1/2,y+1/2,z+1/2'
'-x+1/2,-y+1/2,z+1/2'
'-x+1/2,y+1/2,z+1/2'
'x+1/2,-y+1/2,z+1/2'
loop_
_atom_site_label
_atom_site_type_symbol
_atom_site_fract_x
_atom_site_fract_y
_atom_site_fract_z
K1 K 0.000 0.000 0.000
In1 In 0.000 0.500 0.802
Os1 Os 0.000 0.000 0.529
Os2 Os 0.000 0.500 0.210
```

=====

What is the spin magnetization in the third record?
0.000 μB per formula unit

=====

What is the Fermi-level density of states in the sixth record?
33.59 states/eV per cell